First-principles (PBE) data for a relaxed structure of PmPr3Cd2, as listed in the Alexandria database.

Properties
**E**: -3.53 eV/atom
**Total magnetization**: 0.00 μB per formula unit
**Distance to the lowest polymorph of the same formula**: 0.156 eV/atom
**Formation energy from the elements**: -0.0461 eV per atom
**Mass density**: 6.71 Mg/m³

Unit cell a=9.3347 b=9.3347 c=13.3103 alpha=116.98 beta=116.98 gamma=22.42
Atoms (fractional coordinates):
Pm 0.0863 0.0863 0.1766
Pm 0.9137 0.9137 0.8234
Pr 0.1129 0.1129 0.5349
Pr 0.2459 0.2459 0.8389
Pr 0.4594 0.4594 0.2835
Pr 0.5406 0.5406 0.7165
Pr 0.7541 0.7541 0.1611
Pr 0.8871 0.8871 0.4651
Cd 0.1170 0.1170 0.9538
Cd 0.3082 0.3082 0.6060
Cd 0.6918 0.6918 0.3940
Cd 0.8830 0.8830 0.0462

First-principles (PBE) data for a relaxed structure of PmPr9Cd2, as listed in the Alexandria database.

Properties
**E**: -4.20 eV/atom
**Total magnetization**: 0.00 μB per formula unit
**Formation energy from the elements**: -0.0649 eV per atom
**Mass density**: 6.86 Mg/m³

Unit cell a=5.0763 b=5.0763 c=15.3945 alpha=90.00 beta=90.00 gamma=90.00
Atoms (fractional coordinates):
Pm 0.0000 0.0000 0.0000
Pr 0.0000 0.5000 0.1736
Pr 0.0000 0.5000 0.5000
Pr 0.0000 0.5000 0.8264
Pr 0.5000 0.0000 0.1736
Pr 0.5000 0.0000 0.5000
Pr 0.5000 0.0000 0.8264
Pr 0.5000 0.5000 0.0000
Pr 0.5000 0.5000 0.3368
Pr 0.5000 0.5000 0.6632
Cd 0.0000 0.0000 0.3399
Cd 0.0000 0.0000 0.6601

First-principles (PBE) data for a relaxed structure of Pm4Pr15Cd, as listed in the Alexandria database.

Properties
**E**: -4.59 eV/atom
**Total magnetization**: 0.00 μB per formula unit
**Formation energy from the elements**: -0.0080 eV per atom
**Mass density**: 6.65 Mg/m³

Unit cell a=5.1780 b=5.1780 c=26.1139 alpha=90.00 beta=90.00 gamma=90.00
Atoms (fractional coordinates):
Pm 0.0000 0.0000 0.1012
Pm 0.0000 0.0000 0.3038
Pm 0.0000 0.0000 0.6962
Pm 0.0000 0.0000 0.8988
Pr 0.0000 0.5000 0.0000
Pr 0.0000 0.5000 0.2027
Pr 0.0000 0.5000 0.4040
Pr 0.0000 0.5000 0.5960
Pr 0.0000 0.5000 0.7973
Pr 0.5000 0.0000 0.0000
Pr 0.5000 0.0000 0.2027
Pr 0.5000 0.0000 0.4040
Pr 0.5000 0.0000 0.5960
Pr 0.5000 0.0000 0.7973
Pr 0.5000 0.5000 0.1018
Pr 0.5000 0.5000 0.3046
Pr 0.5000 0.5000 0.5000
Pr 0.5000 0.5000 0.6954
Pr 0.5000 0.5000 0.8982
Cd 0.0000 0.0000 0.5000

First-principles (PBE) data for a relaxed structure of Pm8Pr4Cd, as listed in the Alexandria database.

Properties
**E**: -4.10 eV/atom
**Total magnetization**: 0.00 μB per formula unit
**Formation energy from the elements**: 0.3620 eV per atom
**Mass density**: 6.59 Mg/m³

Unit cell a=7.8072 b=7.8072 c=7.8072 alpha=97.44 beta=97.44 gamma=97.44
Atoms (fractional coordinates):
Pm 0.1636 0.1636 0.6661
Pm 0.1636 0.6661 0.1636
Pm 0.2435 0.2435 0.2435
Pm 0.3339 0.8364 0.8364
Pm 0.6661 0.1636 0.1636
Pm 0.7565 0.7565 0.7565
Pm 0.8364 0.3339 0.8364
Pm 0.8364 0.8364 0.3339
Pr 0.0000 0.0000 0.0000
Pr 0.0000 0.5000 0.5000
Pr 0.5000 0.0000 0.5000
Pr 0.5000 0.5000 0.0000
Cd 0.5000 0.5000 0.5000

First-principles (PBE) data for a relaxed structure of Pm3PrCd8, as listed in the Alexandria database.

Properties
**E**: -2.49 eV/atom
**Total magnetization**: 0.00 μB per formula unit
**Formation energy from the elements**: -0.2952 eV per atom
**Mass density**: 8.06 Mg/m³

Unit cell a=6.0829 b=6.0829 c=9.4904 alpha=90.00 beta=90.00 gamma=120.00
Atoms (fractional coordinates):
Pm 0.0000 0.0000 0.0000
Pm 0.0000 0.0000 0.3835
Pm 0.3333 0.6667 0.8849
Pr 0.3333 0.6667 0.5005
Cd 0.0070 0.5035 0.1909
Cd 0.3258 0.1629 0.6928
Cd 0.4965 0.5035 0.1909
Cd 0.4965 0.9930 0.1909
Cd 0.6667 0.3333 0.4421
Cd 0.6667 0.3333 0.9418
Cd 0.8371 0.1629 0.6928
Cd 0.8371 0.6742 0.6928

First-principles (PBE) data for a relaxed structure of PmPr5Cd6, as listed in the Alexandria database.

Properties
**E**: -3.16 eV/atom
**Total magnetization**: 2.29 μB per formula unit
**Formation energy from the elements**: -0.3186 eV per atom
**Mass density**: 7.25 Mg/m³

Unit cell a=8.6523 b=8.6523 c=7.7796 alpha=90.00 beta=90.00 gamma=143.17
Atoms (fractional coordinates):
Pm 0.0000 0.0000 0.0000
Pr 0.0000 0.0000 0.5000
Pr 0.3334 0.6666 0.0000
Pr 0.3326 0.6674 0.5000
Pr 0.6666 0.3334 0.0000
Pr 0.6674 0.3326 0.5000
Cd 0.1652 0.8348 0.2479
Cd 0.1652 0.8348 0.7521
Cd 0.5000 0.5000 0.2469
Cd 0.5000 0.5000 0.7531
Cd 0.8348 0.1652 0.2479
Cd 0.8348 0.1652 0.7521

Q: The lowest mass density belongs to which entry?
A: Pm8Pr4Cd